No. 1
Material: Na3Ho3GeSe8
Method: DFT, PBE-GGA
State: optimized geometry Values from VASP.

Cell and atoms, written as Quantum ESPRESSO input:
```
&SYSTEM
  ibrav = 0, nat = 15, ntyp = 4
/
ATOMIC_SPECIES
Na 22.99 Na.upf
Ho 164.93 Ho.upf
Ge 72.64 Ge.upf
Se 78.96 Se.upf
ATOMIC_POSITIONS crystal
Na 0.000 0.500 0.500
Na 0.500 0.000 0.500
Na 0.500 0.500 0.000
Ho 0.000 0.000 0.500
Ho 0.000 0.500 0.000
Ho 0.500 0.000 0.000
Ge 0.500 0.500 0.500
Se 0.243 0.243 0.243
Se 0.262 0.727 0.727
Se 0.273 0.273 0.738
Se 0.273 0.738 0.273
Se 0.727 0.262 0.727
Se 0.727 0.727 0.262
Se 0.738 0.273 0.273
Se 0.757 0.757 0.757
CELL_PARAMETERS angstrom
4.050 2.338 7.109
-4.050 2.338 7.109
0.000 -4.677 7.109
```

Output
Formation energy from raw total energies   -1.339 eV per atom
Crystal system   trigonal
Calculated volume   404.0 Å³/cell

---

No. 2
Material: AlTlHg2
Method: DFT, PBE-GGA
State: optimized geometry Values from VASP.

Cell and atoms, written as Quantum ESPRESSO input:
```
&SYSTEM
  ibrav = 0, nat = 4, ntyp = 3
/
ATOMIC_SPECIES
Al 26.98 Al.upf
Tl 204.38 Tl.upf
Hg 200.59 Hg.upf
ATOMIC_POSITIONS crystal
Al 0.000 0.000 0.000
Tl 0.500 0.500 0.000
Hg 0.250 0.750 0.500
Hg 0.750 0.250 0.500
CELL_PARAMETERS angstrom
-2.377 2.377 4.463
2.377 -2.377 4.463
2.377 2.377 -4.463
```

Output
Crystal system   tetragonal
DFT total energy   -1.496 eV per atom
Calculated volume   100.8 Å³/cell

---

No. 3
Material: La2ZnPbAu
Method: DFT, PBE-GGA
State: optimized geometry Values from VASP.

Cell and atoms, written as Quantum ESPRESSO input:
```
&SYSTEM
  ibrav = 0, nat = 5, ntyp = 4
/
ATOMIC_SPECIES
La 138.91 La.upf
Zn 65.41 Zn.upf
Pb 207.20 Pb.upf
Au 196.97 Au.upf
ATOMIC_POSITIONS crystal
La 0.000 0.500 0.000
La 0.500 0.000 0.000
Zn 0.000 0.000 0.500
Pb 0.000 0.000 0.000
Au 0.500 0.500 0.500
CELL_PARAMETERS angstrom
6.123 0.000 0.000
0.000 6.123 0.000
0.000 0.000 4.929
```

Output
Crystal system   tetragonal
DFT total energy   -3.360 eV per atom
Calculated volume   184.8 Å³/cell

---

No. 4
Material: ZrAg2Pd8
Method: DFT, PBE-GGA
State: optimized geometry Values from VASP.

Cell and atoms, written as Quantum ESPRESSO input:
```
&SYSTEM
  ibrav = 0, nat = 11, ntyp = 3
/
ATOMIC_SPECIES
Zr 91.22 Zr.upf
Ag 107.87 Ag.upf
Pd 106.42 Pd.upf
ATOMIC_POSITIONS crystal
Zr 0.000 0.000 0.000
Ag 0.377 0.623 0.500
Ag 0.623 0.377 0.500
Pd 0.036 0.300 0.500
Pd 0.243 0.757 0.000
Pd 0.300 0.036 0.500
Pd 0.328 0.328 0.000
Pd 0.672 0.672 0.000
Pd 0.700 0.964 0.500
Pd 0.757 0.243 0.000
Pd 0.964 0.700 0.500
CELL_PARAMETERS angstrom
4.089 -5.379 0.000
4.089 5.379 0.000
0.000 0.000 4.330
```

Output
Crystal system   orthorhombic
DFT total energy   -5.198 eV per atom
Calculated volume   190.5 Å³/cell

---

No. 5
Material: YRu2Pt
Method: DFT, PBE-GGA
State: optimized geometry Values from VASP.

Cell and atoms, written as Quantum ESPRESSO input:
```
&SYSTEM
  ibrav = 0, nat = 4, ntyp = 3
/
ATOMIC_SPECIES
Y 88.91 Y.upf
Ru 101.07 Ru.upf
Pt 195.08 Pt.upf
ATOMIC_POSITIONS crystal
Y 0.000 0.000 0.000
Ru 0.500 0.500 0.294
Ru 0.500 0.500 0.706
Pt 0.000 0.000 0.500
CELL_PARAMETERS angstrom
2.859 0.000 0.000
0.000 4.044 0.000
0.000 0.000 6.043
```

Output
Crystal system   orthorhombic
ΔE to the lowest computed polymorph   246.0 meV per atom
Calculated volume   69.9 Å³/cell

---

No. 6
Material: Zr2Ta
Method: DFT, PBE-GGA
State: optimized geometry Values from VASP.

Cell and atoms, written as Quantum ESPRESSO input:
```
&SYSTEM
  ibrav = 0, nat = 3, ntyp = 2
/
ATOMIC_SPECIES
Zr 91.22 Zr.upf
Ta 180.95 Ta.upf
ATOMIC_POSITIONS crystal
Zr 0.156 0.156 0.000
Zr 0.844 0.844 0.000
Ta 0.500 0.500 0.000
CELL_PARAMETERS angstrom
-1.728 1.728 5.340
1.728 -1.728 5.340
1.728 1.728 -5.340
```

Output
Crystal system   tetragonal
DFT total energy   -9.515 eV per atom
Calculated volume   63.8 Å³/cell

---

No. 7
Material: Sm6NiBi3
Method: DFT, PBE-GGA
State: optimized geometry Values from VASP.

Cell and atoms, written as Quantum ESPRESSO input:
```
&SYSTEM
  ibrav = 0, nat = 20, ntyp = 3
/
ATOMIC_SPECIES
Sm 150.36 Sm.upf
Ni 58.69 Ni.upf
Bi 208.98 Bi.upf
ATOMIC_POSITIONS crystal
Sm 0.056 0.198 0.443
Sm 0.056 0.302 0.943
Sm 0.301 0.659 0.439
Sm 0.301 0.841 0.939
Sm 0.362 0.040 0.228
Sm 0.362 0.460 0.728
Sm 0.638 0.540 0.272
Sm 0.638 0.960 0.772
Sm 0.699 0.159 0.061
Sm 0.699 0.341 0.561
Sm 0.944 0.698 0.057
Sm 0.944 0.802 0.557
Ni 0.000 0.000 0.000
Ni 0.000 0.500 0.500
Bi 0.152 0.116 0.743
Bi 0.152 0.384 0.243
Bi 0.500 0.000 0.500
Bi 0.500 0.500 0.000
Bi 0.848 0.616 0.757
Bi 0.848 0.884 0.257
CELL_PARAMETERS angstrom
6.525 0.000 0.000
0.000 8.656 0.000
-6.383 0.000 11.062
```

Output
Crystal system   monoclinic
DFT total energy   -5.124 eV per atom
Calculated volume   624.7 Å³/cell

---

No. 8
Material: NaMg3Fe
Method: DFT, PBE-GGA
State: optimized geometry Values from VASP.

Cell and atoms, written as Quantum ESPRESSO input:
```
&SYSTEM
  ibrav = 0, nat = 5, ntyp = 3
/
ATOMIC_SPECIES
Na 22.99 Na.upf
Mg 24.30 Mg.upf
Fe 55.84 Fe.upf
ATOMIC_POSITIONS crystal
Na 0.000 0.000 0.000
Mg 0.000 0.500 0.500
Mg 0.500 0.000 0.500
Mg 0.500 0.500 0.000
Fe 0.500 0.500 0.500
CELL_PARAMETERS angstrom
5.001 0.000 0.000
0.000 5.001 0.000
0.000 0.000 5.001
```

Output
Crystal system   cubic
ΔE to the lowest computed polymorph   0.0 meV per atom
Calculated volume   125.1 Å³/cell

---

No. 9
Material: TaCo2Ni
Method: DFT, PBE-GGA
State: optimized geometry Values from VASP.

Cell and atoms, written as Quantum ESPRESSO input:
```
&SYSTEM
  ibrav = 0, nat = 4, ntyp = 3
/
ATOMIC_SPECIES
Ta 180.95 Ta.upf
Co 58.93 Co.upf
Ni 58.69 Ni.upf
ATOMIC_POSITIONS crystal
Ta 0.000 0.000 0.000
Co 0.291 0.500 0.732
Co 0.709 0.500 0.268
Ni 0.500 0.000 0.500
CELL_PARAMETERS angstrom
2.620 0.000 0.000
0.000 4.205 0.000
-0.549 0.000 4.618
```

Output
Crystal system   monoclinic
ΔE to the lowest computed polymorph   340.7 meV per atom
Calculated volume   50.9 Å³/cell

---

No. 10
Material: MgZnCd4
Method: DFT, PBE-GGA
State: optimized geometry Values from VASP.

Cell and atoms, written as Quantum ESPRESSO input:
```
&SYSTEM
  ibrav = 0, nat = 6, ntyp = 3
/
ATOMIC_SPECIES
Mg 24.30 Mg.upf
Zn 65.41 Zn.upf
Cd 112.41 Cd.upf
ATOMIC_POSITIONS crystal
Mg 0.000 0.000 0.000
Zn 0.750 0.750 0.750
Cd 0.375 0.375 0.375
Cd 0.375 0.375 0.875
Cd 0.375 0.875 0.375
Cd 0.875 0.375 0.375
CELL_PARAMETERS angstrom
0.000 4.086 4.086
4.086 0.000 4.086
4.086 4.086 0.000
```

Output
Crystal system   cubic
ΔE to the lowest computed polymorph   111.9 meV per atom
Calculated volume   136.4 Å³/cell

---

No. 11
Material: NaTmMg2Tl4
Method: DFT, PBE-GGA
State: optimized geometry Values from VASP.

Cell and atoms, written as Quantum ESPRESSO input:
```
&SYSTEM
  ibrav = 0, nat = 8, ntyp = 4
/
ATOMIC_SPECIES
Na 22.99 Na.upf
Tm 168.93 Tm.upf
Mg 24.30 Mg.upf
Tl 204.38 Tl.upf
ATOMIC_POSITIONS crystal
Na 0.000 0.000 0.000
Tm 0.500 0.500 0.500
Mg 0.250 0.250 0.250
Mg 0.750 0.750 0.750
Tl 0.124 0.124 0.124
Tl 0.373 0.373 0.373
Tl 0.627 0.627 0.627
Tl 0.876 0.876 0.876
CELL_PARAMETERS angstrom
2.617 1.511 8.545
-2.617 1.511 8.545
0.000 -3.022 8.545
```

Output
Crystal system   trigonal
DFT total energy   -2.464 eV per atom
Calculated volume   202.7 Å³/cell

---

No. 12
Material: ScSi2Au
Method: DFT, PBE-GGA
State: optimized geometry Values from VASP.

Cell and atoms, written as Quantum ESPRESSO input:
```
&SYSTEM
  ibrav = 0, nat = 4, ntyp = 3
/
ATOMIC_SPECIES
Sc 44.96 Sc.upf
Si 28.09 Si.upf
Au 196.97 Au.upf
ATOMIC_POSITIONS crystal
Sc 0.000 0.000 0.000
Si 0.250 0.250 0.250
Si 0.750 0.750 0.750
Au 0.500 0.500 0.500
CELL_PARAMETERS angstrom
0.000 3.263 3.263
3.263 0.000 3.263
3.263 3.263 0.000
```

Output
Formation energy from raw total energies   -0.028 eV per atom
Crystal system   cubic
Calculated volume   69.5 Å³/cell

---

No. 13
Material: Ac8Sm4Dy
Method: DFT, PBE-GGA
State: optimized geometry Values from VASP.

Cell and atoms, written as Quantum ESPRESSO input:
```
&SYSTEM
  ibrav = 0, nat = 13, ntyp = 3
/
ATOMIC_SPECIES
Ac 227.00 Ac.upf
Sm 150.36 Sm.upf
Dy 162.50 Dy.upf
ATOMIC_POSITIONS crystal
Ac 0.241 0.241 0.241
Ac 0.241 0.241 0.758
Ac 0.241 0.758 0.241
Ac 0.242 0.759 0.759
Ac 0.758 0.241 0.241
Ac 0.759 0.242 0.759
Ac 0.759 0.759 0.242
Ac 0.759 0.759 0.759
Sm 0.000 0.000 0.000
Sm 0.000 0.500 0.500
Sm 0.500 0.000 0.500
Sm 0.500 0.500 0.000
Dy 0.500 0.500 0.500
CELL_PARAMETERS angstrom
5.906 3.410 4.814
-5.906 3.410 4.814
0.000 -6.820 4.814
```

Output
Crystal system   trigonal
DFT total energy   -3.935 eV per atom
Calculated volume   581.7 Å³/cell

---

No. 14
Material: LiMgSbPb
Method: DFT, PBE-GGA
State: optimized geometry Values from VASP.

Cell and atoms, written as Quantum ESPRESSO input:
```
&SYSTEM
  ibrav = 0, nat = 4, ntyp = 4
/
ATOMIC_SPECIES
Li 6.94 Li.upf
Mg 24.30 Mg.upf
Sb 121.76 Sb.upf
Pb 207.20 Pb.upf
ATOMIC_POSITIONS crystal
Li 0.000 0.000 0.000
Mg 0.500 0.500 0.500
Sb 0.250 0.250 0.250
Pb 0.750 0.750 0.750
CELL_PARAMETERS angstrom
0.000 3.646 3.646
3.646 0.000 3.646
3.646 3.646 0.000
```

Output
Formation energy from raw total energies   -0.204 eV per atom
Crystal system   cubic
Calculated volume   97.0 Å³/cell

---

No. 15
Material: HfOsSe2
Method: DFT, PBE-GGA
State: optimized geometry Values from VASP.

Cell and atoms, written as Quantum ESPRESSO input:
```
&SYSTEM
  ibrav = 0, nat = 8, ntyp = 3
/
ATOMIC_SPECIES
Hf 178.49 Hf.upf
Os 190.23 Os.upf
Se 78.96 Se.upf
ATOMIC_POSITIONS crystal
Hf 0.000 0.000 0.000
Hf 0.750 0.250 0.500
Os 0.250 0.750 0.500
Os 0.500 0.500 0.000
Se 0.151 0.625 0.026
Se 0.375 0.401 0.526
Se 0.599 0.125 0.974
Se 0.875 0.849 0.474
CELL_PARAMETERS angstrom
-2.281 2.281 7.833
2.281 -2.281 7.833
2.281 2.281 -7.833
```

Output
Formation energy from raw total energies   -0.097 eV per atom
Crystal system   tetragonal
ΔE to the lowest computed polymorph   0.0 meV per atom
Calculated volume   163.0 Å³/cell

---

No. 16
Material: Tb2Ga3Au5
Method: DFT, PBE-GGA
State: optimized geometry Values from VASP.

Cell and atoms, written as Quantum ESPRESSO input:
```
&SYSTEM
  ibrav = 0, nat = 20, ntyp = 3
/
ATOMIC_SPECIES
Tb 158.93 Tb.upf
Ga 69.72 Ga.upf
Au 196.97 Au.upf
ATOMIC_POSITIONS crystal
Tb 0.133 0.225 0.358
Tb 0.367 0.725 0.092
Tb 0.633 0.275 0.908
Tb 0.867 0.775 0.642
Ga 0.134 0.875 0.008
Ga 0.250 0.750 0.500
Ga 0.366 0.375 0.741
Ga 0.634 0.625 0.259
Ga 0.750 0.250 0.500
Ga 0.866 0.125 0.992
Au 0.014 0.750 0.264
Au 0.101 0.661 0.761
Au 0.250 0.250 0.000
Au 0.399 0.161 0.560
Au 0.486 0.750 0.736
Au 0.514 0.250 0.264
Au 0.601 0.839 0.440
Au 0.750 0.750 0.000
Au 0.899 0.339 0.239
Au 0.986 0.250 0.736
CELL_PARAMETERS angstrom
-5.748 5.893 3.016
5.748 -5.893 3.016
5.748 5.893 -3.016
```

Output
Crystal system   orthorhombic
ΔE to the lowest computed polymorph   25.0 meV per atom
Calculated volume   408.6 Å³/cell

---

No. 17
Material: LiLaMn
Method: DFT, PBE-GGA
State: optimized geometry Values from VASP.

Cell and atoms, written as Quantum ESPRESSO input:
```
&SYSTEM
  ibrav = 0, nat = 3, ntyp = 3
/
ATOMIC_SPECIES
Li 6.94 Li.upf
La 138.91 La.upf
Mn 54.94 Mn.upf
ATOMIC_POSITIONS crystal
Li 0.000 0.000 0.000
La 0.333 0.667 0.609
Mn 0.667 0.333 0.283
CELL_PARAMETERS angstrom
3.283 0.000 0.000
-1.641 2.843 0.000
0.000 0.000 7.715
```

Output
Crystal system   trigonal
ΔE to the lowest computed polymorph   163.4 meV per atom
Calculated volume   72.0 Å³/cell

---

No. 18
Material: CeYErTc
Method: DFT, PBE-GGA
State: optimized geometry Values from VASP.

Cell and atoms, written as Quantum ESPRESSO input:
```
&SYSTEM
  ibrav = 0, nat = 4, ntyp = 4
/
ATOMIC_SPECIES
Ce 140.12 Ce.upf
Y 88.91 Y.upf
Er 167.26 Er.upf
Tc 98.00 Tc.upf
ATOMIC_POSITIONS crystal
Ce 0.000 0.000 0.000
Y 0.554 0.554 0.554
Er 0.766 0.766 0.766
Tc 0.347 0.347 0.347
CELL_PARAMETERS angstrom
2.233 1.289 6.394
-2.233 1.289 6.394
0.000 -2.579 6.394
```

Output
Crystal system   trigonal
DFT total energy   -6.727 eV per atom
Calculated volume   110.5 Å³/cell

---

No. 19
Material: AcPmCuSn
Method: DFT, PBE-GGA
State: optimized geometry Values from VASP.

Cell and atoms, written as Quantum ESPRESSO input:
```
&SYSTEM
  ibrav = 0, nat = 4, ntyp = 4
/
ATOMIC_SPECIES
Ac 227.00 Ac.upf
Pm 145.00 Pm.upf
Cu 63.55 Cu.upf
Sn 118.71 Sn.upf
ATOMIC_POSITIONS crystal
Ac 0.000 0.000 0.000
Pm 0.500 0.500 0.500
Cu 0.250 0.250 0.250
Sn 0.750 0.750 0.750
CELL_PARAMETERS angstrom
0.000 3.866 3.866
3.866 0.000 3.866
3.866 3.866 0.000
```

Output
Crystal system   cubic
DFT total energy   -4.594 eV per atom
Calculated volume   115.5 Å³/cell

---

No. 20
Material: Ca2HfPaAs4
Method: DFT, PBE-GGA
State: optimized geometry Values from VASP.

Cell and atoms, written as Quantum ESPRESSO input:
```
&SYSTEM
  ibrav = 0, nat = 8, ntyp = 4
/
ATOMIC_SPECIES
Ca 40.08 Ca.upf
Hf 178.49 Hf.upf
Pa 231.04 Pa.upf
As 74.92 As.upf
ATOMIC_POSITIONS crystal
Ca 0.000 0.000 0.000
Ca 0.500 0.500 0.000
Hf 0.000 0.500 0.500
Pa 0.500 0.000 0.500
As 0.235 0.000 0.726
As 0.248 0.500 0.269
As 0.752 0.500 0.731
As 0.765 0.000 0.274
CELL_PARAMETERS angstrom
6.990 0.000 0.000
0.000 4.075 0.000
-2.334 0.000 6.822
```

Output
Crystal system   monoclinic
DFT total energy   -6.404 eV per atom
Calculated volume   194.3 Å³/cell